Record 1
The following is a PBE-GGA calculation of crystalline CsZnH3 at its relaxed geometry, from Alexandria.

a b c (Å): 4.468 6.710 7.321
angles (deg): 90.00 84.98 90.00
Element x y z (fractional)
H (0.330, 0.750, 0.920)
Zn (0.582, 0.750, 0.747)
H (0.707, 0.544, 0.656)
H (0.707, 0.956, 0.656)
Cs (0.179, 0.250, 0.756)
H (0.293, 0.456, 0.344)
H (0.670, 0.250, 0.080)
Zn (0.418, 0.250, 0.253)
H (0.293, 0.044, 0.344)
Cs (0.821, 0.750, 0.244)

Values from the calculation:
The offset from the most stable computed form comes out at 88 meV/atom. The space-group type is No. 11.

***

Record 2
The following is a PBE-GGA calculation of crystalline CsZn2H at its relaxed geometry, from Alexandria.

a b c (Å): 5.727 5.727 5.727
angles (deg): 60.00 60.00 60.00
Element x y z (fractional)
Zn (0.750, 0.750, 0.750)
H (0.000, 0.000, 0.000)
Zn (0.250, 0.250, 0.250)
Cs (0.500, 0.500, 0.500)

Values from the calculation:
The offset from the most stable computed form comes out at 242 meV/atom. The space-group type is No. 225.

***

Record 3
The following is a PBE-GGA calculation of crystalline CsZnH2 at its relaxed geometry, from Alexandria.

a b c (Å): 4.954 4.954 4.954
angles (deg): 60.00 60.00 60.00
Element x y z (fractional)
Zn (0.000, 0.000, 0.000)
H (0.250, 0.250, 0.250)
Cs (0.500, 0.500, 0.500)
H (0.750, 0.750, 0.750)

Values from the calculation:
For the total DFT energy (no corrections), the calculation gives -6.5 eV per cell. The space-group type is No. 225.

***

Record 4
The following is a PBE-GGA calculation of crystalline Cs2ZnH3 at its relaxed geometry, from Alexandria.

a b c (Å): 5.421 9.228 7.210
angles (deg): 108.19 112.08 90.00
Element x y z (fractional)
Cs (0.343, 0.425, 0.700)
Cs (0.657, 0.575, 0.300)
H (0.986, 0.303, 0.228)
Cs (0.357, 0.925, 0.700)
Cs (0.643, 0.075, 0.300)
Zn (0.015, 0.250, 0.000)
H (0.014, 0.697, 0.772)
H (0.758, 0.197, 0.772)
H (0.683, 0.750, 0.000)
H (0.242, 0.803, 0.228)
H (0.317, 0.250, 0.000)
Zn (0.985, 0.750, 0.000)

Values from the calculation:
For the total DFT energy (no corrections), the calculation gives -26.9 eV per cell. The space-group type is No. 15.

***

What is the formula in the first record?
CsZnH3

***

Which formula does entry 3 have?
CsZnH2